No. 1
Entry from Alexandria: a relaxed RbZn2P crystal (PBE).

**Symmetry**: R-3m, No. 166

abc: 4.0878 4.0878 8.9147
angles: 76.75 76.75 60.00
Atoms (fractional coordinates):
Zn1 0.8685 0.8685 0.3944
Zn2 0.1315 0.1315 0.6056
Rb1 0.0000 0.0000 0.0000
P1 0.5000 0.5000 0.5000

***

No. 2
Entry from Alexandria: a relaxed Rb2ZnP crystal (PBE).

**Symmetry**: C2/c, No. 15
**Offset from the most stable computed form**: 0.000 eV per atom

abc: 4.5459 10.2714 9.7837
angles: 105.23 103.43 90.00
Atoms (fractional coordinates):
Rb1 0.1209 0.0608 0.2431
Rb2 0.8779 0.4392 0.7569
Rb3 0.1221 0.5608 0.2431
Rb4 0.8791 0.9392 0.7569
P1 0.9962 0.7500 0.0000
P2 0.0038 0.2500 0.0000
Zn1 0.4964 0.7500 0.0000
Zn2 0.5036 0.2500 0.0000

***

No. 3
Entry from Alexandria: a relaxed RbZn2P2 crystal (PBE).

**Symmetry**: P4/mbm, No. 127

abc: 8.1928 8.1928 3.1313
angles: 90.00 90.00 90.00
Atoms (fractional coordinates):
Zn1 0.8797 0.3797 0.5000
Zn2 0.3797 0.1203 0.5000
Zn3 0.6203 0.8797 0.5000
Zn4 0.1203 0.6203 0.5000
Rb1 0.0000 0.0000 0.0000
Rb2 0.5000 0.5000 0.0000
P1 0.6415 0.1415 0.0000
P2 0.3585 0.8585 0.0000
P3 0.1415 0.3585 0.0000
P4 0.8585 0.6415 0.0000

***

No. 4
Entry from Alexandria: a relaxed Rb2ZnP crystal (PBE).

**Symmetry**: I-42d, No. 122
**Offset from the most stable computed form**: 0.544 eV per atom

abc: 6.0347 6.0347 11.4003
angles: 74.65 74.65 90.00
Site moments in Bohr magnetons follow the coordinates.
Atoms (fractional coordinates):
P1 0.2500 0.7500 0.5000  0.39
P2 0.5000 0.5000 0.0000  0.39
Rb1 0.3750 0.4048 0.7500  0.01
Rb2 0.5952 0.1250 0.2500  0.01
Rb3 0.8750 0.8452 0.7500  0.01
Rb4 0.1548 0.6250 0.2500  0.01
Zn1 0.7500 0.2500 0.5000  0.01
Zn2 0.0000 0.0000 0.0000  0.01

***

No. 5
Entry from Alexandria: a relaxed Rb3ZnP crystal (PBE).

**Symmetry**: Pm-3m, No. 221
**Offset from the most stable computed form**: 0.000 eV per atom

abc: 6.6622 6.6622 6.6622
angles: 90.00 90.00 90.00
Atoms (fractional coordinates):
Rb1 0.0000 0.0000 0.5000
Rb2 0.5000 0.0000 0.0000
Rb3 0.0000 0.5000 0.0000
Zn1 0.5000 0.5000 0.5000
P1 0.0000 0.0000 0.0000

***

No. 6
Entry from Alexandria: a relaxed RbZn3P2 crystal (PBE).

**Symmetry**: P-1, No. 2

abc: 4.0316 9.8901 8.0867
angles: 117.78 104.13 90.27
Atoms (fractional coordinates):
Zn1 0.7137 0.3973 0.4336
Zn2 0.5891 0.6851 0.1753
Zn3 0.9044 0.5867 0.8181
Zn4 0.0956 0.4133 0.1819
Zn5 0.2863 0.6027 0.5664
Zn6 0.4109 0.3149 0.8247
P1 0.8332 0.3019 0.6661
P2 0.1668 0.6981 0.3339
P3 0.4530 0.7447 0.9148
P4 0.5470 0.2553 0.0852
Rb1 0.8684 0.9547 0.7334
Rb2 0.1316 0.0453 0.2666

***

no.,energy relative to the elements (eV per formula unit),VASP energy (eV for the cell shown)
1,0.76,-8.17
2,-0.44,-18.12
3,1.16,-26.35
4,1.74,-13.77
5,0.57,-9.01
6,-1.52,-34.26